# 1
The following is a PBE calculation of a relaxed structure of La3Ga3Ru2, from Alexandria via LeMat-Bulk.

The structure in CIF format:
```
data_La3Ga3Ru2
_symmetry_space_group_name_H-M 'C m c m'
_symmetry_Int_Tables_number 63
_symmetry_space_group_name_Hall '-C 2c 2'
_cell_length_a 4.321
_cell_length_b 10.833
_cell_length_c 15.680
_cell_angle_alpha 90.00
_cell_angle_beta 90.00
_cell_angle_gamma 90.00
loop_
_atom_site_label
_atom_site_fract_x
_atom_site_fract_y
_atom_site_fract_z
La1 0.000 0.058 0.106
La2 0.000 0.341 0.250
Ga1 0.000 0.338 0.033
Ga2 0.000 0.360 0.750
Ru1 0.000 0.215 0.614
```

Its volume is 22.9 A^3/atom. As for the crystal system: orthorhombic. The magnetization is 0.0 μB/f.u. The calculated formation energy comes out at -522 meV/atom.

# 2
The following is a PBE calculation of a relaxed structure of LaGa2Ru, from Alexandria via LeMat-Bulk.

The structure in CIF format:
```
data_LaGa2Ru
_symmetry_space_group_name_H-M 'P 4/m m m'
_symmetry_Int_Tables_number 123
_symmetry_space_group_name_Hall '-P 4 2'
_cell_length_a 3.237
_cell_length_b 3.237
_cell_length_c 7.267
_cell_angle_alpha 90.00
_cell_angle_beta 90.00
_cell_angle_gamma 90.00
loop_
_atom_site_label
_atom_site_fract_x
_atom_site_fract_y
_atom_site_fract_z
La1 0.000 0.000 0.000
Ga1 0.500 0.500 0.314
Ru1 0.000 0.000 0.500
```

Its volume is 19.0 A^3/atom. As for the crystal system: tetragonal. The magnetization is 0.0 μB/f.u. The calculated formation energy comes out at -412 meV/atom.

# 3
The following is a PBE calculation of a relaxed structure of La3Ga6Ru5, from Alexandria via LeMat-Bulk.

The structure in CIF format:
```
data_La3Ga6Ru5
_symmetry_space_group_name_H-M 'P m m n'
_symmetry_Int_Tables_number 59
_cell_length_a 4.149
_cell_length_b 12.817
_cell_length_c 9.899
_cell_angle_alpha 90.00
_cell_angle_beta 90.00
_cell_angle_gamma 90.00
loop_
_symmetry_equiv_pos_as_xyz
'x,y,z'
'-x,-y,-z'
'-x+1/2,-y+1/2,z'
'x+1/2,y+1/2,-z'
'x+1/2,-y,-z'
'-x+1/2,y,z'
'-x,y+1/2,-z'
'x,-y+1/2,z'
loop_
_atom_site_label
_atom_site_fract_x
_atom_site_fract_y
_atom_site_fract_z
La1 0.250 0.062 0.247
La2 0.250 0.750 0.261
Ga1 0.250 0.073 0.598
Ga2 0.250 0.250 0.039
Ga3 0.250 0.250 0.435
Ga4 0.250 0.596 0.981
Ru1 0.250 0.097 0.867
Ru2 0.250 0.635 0.535
Ru3 0.250 0.750 0.786
```

Its volume is 18.8 A^3/atom. As for the crystal system: orthorhombic. The magnetization is 0.0 μB/f.u. The calculated formation energy comes out at -427 meV/atom.

# 4
The following is a PBE calculation of a relaxed structure of La4Ga3Ru, from Alexandria via LeMat-Bulk.

The structure in CIF format:
```
data_La4Ga3Ru
_symmetry_space_group_name_H-M 'P m m 2'
_symmetry_Int_Tables_number 25
_cell_length_a 4.277
_cell_length_b 4.477
_cell_length_c 11.123
_cell_angle_alpha 90.00
_cell_angle_beta 90.00
_cell_angle_gamma 90.00
loop_
_symmetry_equiv_pos_as_xyz
'x,y,z'
'-x,-y,z'
'-x,y,z'
'x,-y,z'
loop_
_atom_site_label
_atom_site_fract_x
_atom_site_fract_y
_atom_site_fract_z
La1 0.000 0.000 0.000
La2 0.000 0.500 0.476
La3 0.500 0.000 0.701
La4 0.500 0.500 0.206
Ga1 0.000 0.500 0.774
Ga2 0.500 0.000 0.404
Ga3 0.500 0.500 0.915
Ru1 0.000 0.000 0.263
```

Its volume is 26.6 A^3/atom. As for the crystal system: orthorhombic. The magnetization is 0.0 μB/f.u. The calculated formation energy comes out at -509 meV/atom.

# 5
The following is a PBE calculation of a relaxed structure of LaGa2Ru, from Alexandria via LeMat-Bulk.

The structure in CIF format:
```
data_LaGa2Ru
_symmetry_space_group_name_H-M 'P n m a'
_symmetry_Int_Tables_number 62
_cell_length_a 7.567
_cell_length_b 6.849
_cell_length_c 6.240
_cell_angle_alpha 90.00
_cell_angle_beta 90.00
_cell_angle_gamma 90.00
loop_
_symmetry_equiv_pos_as_xyz
'x,y,z'
'-x,-y,-z'
'-x+1/2,-y,z+1/2'
'x+1/2,y,-z+1/2'
'x+1/2,-y+1/2,-z+1/2'
'-x+1/2,y+1/2,z+1/2'
'-x,y+1/2,-z'
'x,-y+1/2,z'
loop_
_atom_site_label
_atom_site_fract_x
_atom_site_fract_y
_atom_site_fract_z
La1 0.040 0.250 0.102
Ga1 0.149 0.058 0.586
Ru1 0.149 0.750 0.343
```

Its volume is 20.2 A^3/atom. As for the crystal system: orthorhombic. The magnetization is 0.0 μB/f.u. The calculated formation energy comes out at -590 meV/atom.

# 6
The following is a PBE calculation of a relaxed structure of La4Ga2Ru, from Alexandria via LeMat-Bulk.

The structure in CIF format:
```
data_La4Ga2Ru
_symmetry_space_group_name_H-M 'P 1'
_symmetry_Int_Tables_number 1
_cell_length_a 7.361
_cell_length_b 7.856
_cell_length_c 7.858
_cell_angle_alpha 67.40
_cell_angle_beta 71.42
_cell_angle_gamma 83.22
loop_
_symmetry_equiv_pos_as_xyz
'x,y,z'
loop_
_atom_site_label
_atom_site_fract_x
_atom_site_fract_y
_atom_site_fract_z
La1 0.000 0.000 0.000
La2 0.006 0.904 0.505
La3 0.179 0.434 0.774
La4 0.244 0.568 0.219
La5 0.548 0.844 0.354
La6 0.570 0.025 0.826
La7 0.653 0.528 0.813
La8 0.756 0.380 0.268
Ga1 0.277 0.798 0.768
Ga2 0.308 0.192 0.148
Ga3 0.316 0.164 0.521
Ga4 0.941 0.285 0.600
Ru1 0.840 0.710 0.969
Ru2 0.888 0.639 0.393
```

Its volume is 28.4 A^3/atom. As for the crystal system: triclinic. The magnetization is 0.0 μB/f.u. The calculated formation energy comes out at -406 meV/atom. The value obtained for the relative energy among the computed polymorphs is 0.0 meV/atom.

# 7
The following is a PBE calculation of a relaxed structure of La3Ga4Ru2, from Alexandria via LeMat-Bulk.

The structure in CIF format:
```
data_La3Ga4Ru2
_symmetry_space_group_name_H-M 'C 1 2/c 1'
_symmetry_Int_Tables_number 15
_cell_length_a 11.765
_cell_length_b 10.842
_cell_length_c 7.129
_cell_angle_alpha 90.00
_cell_angle_beta 104.61
_cell_angle_gamma 90.00
loop_
_symmetry_equiv_pos_as_xyz
'x,y,z'
'-x,-y,-z'
'-x,y,-z+1/2'
'x,-y,z+1/2'
'x+1/2,y+1/2,z'
'-x+1/2,-y+1/2,-z'
'-x+1/2,y+1/2,-z+1/2'
'x+1/2,-y+1/2,z+1/2'
loop_
_atom_site_label
_atom_site_fract_x
_atom_site_fract_y
_atom_site_fract_z
La1 0.000 0.061 0.250
La2 0.147 0.366 0.668
Ga1 0.117 0.312 0.132
Ga2 0.202 0.086 0.633
Ru1 0.198 0.123 0.987
```

Its volume is 24.4 A^3/atom. As for the crystal system: monoclinic. The magnetization is 0.0 μB/f.u. The calculated formation energy comes out at -421 meV/atom. The value obtained for the relative energy among the computed polymorphs is 135.3 meV/atom.

# 8
The following is a PBE calculation of a relaxed structure of La3Ga4Ru2, from Alexandria via LeMat-Bulk.

The structure in CIF format:
```
data_La3Ga4Ru2
_symmetry_space_group_name_H-M 'C 1 2/m 1'
_symmetry_Int_Tables_number 12
_cell_length_a 10.518
_cell_length_b 4.665
_cell_length_c 8.408
_cell_angle_alpha 90.00
_cell_angle_beta 101.49
_cell_angle_gamma 90.00
loop_
_symmetry_equiv_pos_as_xyz
'x,y,z'
'-x,-y,-z'
'-x,y,-z'
'x,-y,z'
'x+1/2,y+1/2,z'
'-x+1/2,-y+1/2,-z'
'-x+1/2,y+1/2,-z'
'x+1/2,-y+1/2,z'
loop_
_atom_site_label
_atom_site_fract_x
_atom_site_fract_y
_atom_site_fract_z
La1 0.000 0.000 0.000
La2 0.118 0.500 0.695
Ga1 0.102 0.000 0.412
Ga2 0.214 0.500 0.085
Ru1 0.186 0.500 0.373
```

Its volume is 22.5 A^3/atom. As for the crystal system: monoclinic. The magnetization is 0.0 μB/f.u. The calculated formation energy comes out at -556 meV/atom. The value obtained for the relative energy among the computed polymorphs is 0.0 meV/atom.

# 9
The following is a PBE calculation of a relaxed structure of La3GaRu2, from Alexandria via LeMat-Bulk.

The structure in CIF format:
```
data_La3GaRu2
_symmetry_space_group_name_H-M 'I m m m'
_symmetry_Int_Tables_number 71
_symmetry_space_group_name_Hall '-I 2 2'
_cell_length_a 4.385
_cell_length_b 4.615
_cell_length_c 14.249
_cell_angle_alpha 90.00
_cell_angle_beta 90.00
_cell_angle_gamma 90.00
loop_
_atom_site_label
_atom_site_fract_x
_atom_site_fract_y
_atom_site_fract_z
La1 0.000 0.000 0.000
La2 0.000 0.500 0.188
Ga1 0.000 0.000 0.500
Ru1 0.000 0.500 0.368
```

Its volume is 24.0 A^3/atom. As for the crystal system: orthorhombic. The magnetization is 0.0 μB/f.u. The calculated formation energy comes out at -315 meV/atom.

# 10
The following is a PBE calculation of a relaxed structure of La2Ga2Ru, from Alexandria via LeMat-Bulk.

The structure in CIF format:
```
data_La2Ga2Ru
_symmetry_space_group_name_H-M 'P 4/m b m'
_symmetry_Int_Tables_number 127
_symmetry_space_group_name_Hall '-P 4 2ab'
_cell_length_a 7.472
_cell_length_b 7.472
_cell_length_c 4.832
_cell_angle_alpha 90.00
_cell_angle_beta 90.00
_cell_angle_gamma 90.00
loop_
_atom_site_label
_atom_site_fract_x
_atom_site_fract_y
_atom_site_fract_z
La1 0.179 0.321 0.000
Ga1 0.128 0.628 0.500
Ru1 0.000 0.000 0.000
```

Its volume is 27.0 A^3/atom. As for the crystal system: tetragonal. The magnetization is 0.0 μB/f.u. The calculated formation energy comes out at 50 meV/atom. The value obtained for the relative energy among the computed polymorphs is 594.0 meV/atom.